Below is crystalline RbTeOsN2 at its relaxed geometry, with properties calculated at the GGA-PBE level.

Computed properties:
Energy = -5.46 eV/atom

The structure in CIF format:
```
data_RbTeOsN2
_cell_length_a 4.107
_cell_length_b 4.107
_cell_length_c 5.621
_cell_angle_alpha 90.00
_cell_angle_beta 90.00
_cell_angle_gamma 90.00
_space_group_name_H-M_alt 'P 4/m m m'
_space_group_IT_number 123
_space_group_name_Hall '-P 4 2'
loop_
_atom_site_label
_atom_site_fract_x
_atom_site_fract_y
_atom_site_fract_z
Rb1 0.000 0.000 0.000
Te1 0.500 0.500 0.000
Os1 0.500 0.500 0.500
N1 0.000 0.500 0.500
```